1.
VASP calculation (PBE) on ZnP2H4O4 after structural relaxation.

The structure in POSCAR format:
```
ZnP2H4O4
1.0
6.597 0.000 0.000
0.000 5.439 0.000
0.000 0.000 7.606
Zn P H O
2 4 8 8
direct
0.000 0.000 0.000
0.500 0.000 0.000
0.250 0.000 0.364
0.250 0.500 0.858
0.750 0.000 0.636
0.750 0.500 0.142
0.079 0.500 0.746
0.250 0.205 0.480
0.250 0.795 0.480
0.421 0.500 0.746
0.579 0.500 0.254
0.750 0.205 0.520
0.750 0.795 0.520
0.921 0.500 0.254
0.050 0.000 0.263
0.250 0.261 0.965
0.250 0.739 0.965
0.450 0.000 0.263
0.550 0.000 0.737
0.750 0.261 0.035
0.750 0.739 0.035
0.950 0.000 0.737
```

Calculated values
The total magnetization is 0.00 μB/f.u. For the total energy, the calculation gives -0.192 Ha/atom.



2.
VASP calculation (PBE) on MoPtCl3 after structural relaxation.

The structure in POSCAR format:
```
MoPtCl3
1.0
4.912 0.000 0.000
0.000 4.912 0.000
0.000 0.000 4.912
Mo Pt Cl
1 1 3
direct
0.000 0.000 0.000
0.500 0.500 0.500
0.000 0.000 0.500
0.000 0.500 0.000
0.500 0.000 0.000
```

Calculated values
The calculation puts the raw formation energy at 0.499 eV/atom. The total magnetization is 3.64 μB/f.u. For the total energy, the calculation gives -0.146 Ha/atom.



3.
VASP calculation (PBE) on SrTlInPb2 after structural relaxation.

The structure in POSCAR format:
```
SrTlInPb2
1.0
6.079 0.000 0.000
0.000 6.079 0.000
0.000 0.000 6.368
Sr Tl In Pb
1 1 1 2
direct
0.000 0.000 0.000
0.500 0.500 0.000
0.500 0.500 0.500
0.000 0.500 0.500
0.500 0.000 0.500
```

Calculated values
The total magnetization is 0.00 μB/f.u. The value obtained for the energy relative to the elements is 168 meV per atom. For the total energy, the calculation gives -0.098 Ha/atom.



4.
VASP calculation (PBE) on GdYMgSi after structural relaxation.

The structure in POSCAR format:
```
GdYMgSi
1.0
7.226 0.000 0.000
0.000 7.226 0.000
0.000 0.000 7.226
Gd Y Mg Si
4 4 4 4
direct
0.000 0.000 0.000
0.000 0.500 0.500
0.500 0.000 0.500
0.500 0.500 0.000
0.000 0.000 0.500
0.000 0.500 0.000
0.500 0.000 0.000
0.500 0.500 0.500
0.250 0.250 0.750
0.250 0.750 0.250
0.750 0.250 0.250
0.750 0.750 0.750
0.250 0.250 0.250
0.250 0.750 0.750
0.750 0.250 0.750
0.750 0.750 0.250
```

Calculated values
The calculation puts the raw formation energy at -0.303 eV/atom. The total magnetization is 7.37 μB/f.u. For the total energy, the calculation gives -0.264 Ha/atom.



5.
VASP calculation (PBE) on Pm4Ga16Pd3 after structural relaxation.

The structure in POSCAR format:
```
Pm4Ga16Pd3
1.0
6.281 0.000 0.000
0.000 6.281 0.000
0.000 0.000 11.246
Pm Ga Pd
4 16 3
direct
0.000 0.500 0.191
0.000 0.500 0.809
0.500 0.000 0.191
0.500 0.000 0.809
0.000 0.000 0.200
0.000 0.000 0.800
0.210 0.210 0.000
0.210 0.790 0.000
0.244 0.244 0.378
0.244 0.244 0.622
0.244 0.756 0.378
0.244 0.756 0.622
0.500 0.500 0.233
0.500 0.500 0.767
0.756 0.244 0.378
0.756 0.244 0.622
0.756 0.756 0.378
0.756 0.756 0.622
0.790 0.210 0.000
0.790 0.790 0.000
0.000 0.500 0.500
0.500 0.000 0.500
0.500 0.500 0.000
```

Calculated values
The total magnetization is 0.00 μB/f.u. The value obtained for the energy relative to the elements is -595 meV per atom. For the total energy, the calculation gives -0.154 Ha/atom.



6.
VASP calculation (PBE) on Li5Pd3Pb2 after structural relaxation.

The structure in POSCAR format:
```
Li5Pd3Pb2
1.0
-4.581 6.975 2.703
4.581 -6.975 2.703
4.581 6.975 -2.703
Li Pd Pb
10 6 4
direct
0.166 0.246 0.412
0.250 0.008 0.758
0.250 0.250 0.000
0.250 0.492 0.242
0.334 0.746 0.080
0.666 0.254 0.920
0.750 0.508 0.758
0.750 0.750 0.000
0.750 0.992 0.242
0.834 0.754 0.588
0.152 0.920 0.073
0.250 0.750 0.500
0.348 0.420 0.768
0.652 0.580 0.232
0.750 0.250 0.500
0.848 0.080 0.927
0.169 0.601 0.770
0.331 0.101 0.432
0.669 0.899 0.568
0.831 0.399 0.230
```

Calculated values
The total magnetization is 0.00 μB/f.u. The value obtained for the energy relative to the elements is -227 meV per atom. For the total energy, the calculation gives -0.128 Ha/atom.



7.
VASP calculation (PBE) on Ca5HgPt4 after structural relaxation.

The structure in POSCAR format:
```
Ca5HgPt4
1.0
3.575 0.000 0.000
0.000 3.575 0.000
0.000 0.000 17.576
Ca Hg Pt
5 1 4
direct
0.000 0.000 0.000
0.000 0.000 0.190
0.000 0.000 0.381
0.000 0.000 0.619
0.000 0.000 0.810
0.500 0.500 0.500
0.500 0.500 0.097
0.500 0.500 0.288
0.500 0.500 0.712
0.500 0.500 0.903
```

Calculated values
The total magnetization is 0.00 μB/f.u. The value obtained for the energy relative to the elements is -824 meV per atom. For the total energy, the calculation gives -0.157 Ha/atom.



8.
VASP calculation (PBE) on AcPrPuHg after structural relaxation.

The structure in POSCAR format:
```
AcPrPuHg
1.0
7.913 0.000 0.000
0.000 7.913 0.000
0.000 0.000 7.913
Ac Pr Pu Hg
4 4 4 4
direct
0.000 0.000 0.000
0.000 0.500 0.500
0.500 0.000 0.500
0.500 0.500 0.000
0.250 0.250 0.750
0.250 0.750 0.250
0.750 0.250 0.250
0.750 0.750 0.750
0.250 0.250 0.250
0.250 0.750 0.750
0.750 0.250 0.750
0.750 0.750 0.250
0.000 0.000 0.500
0.000 0.500 0.000
0.500 0.000 0.000
0.500 0.500 0.500
```

Calculated values
The total magnetization is 7.55 μB/f.u. The value obtained for the energy relative to the elements is 132 meV per atom. For the total energy, the calculation gives -0.211 Ha/atom.



Number 1: density of states at the Fermi level 0.00 states/eV/cell. Number 2: density of states at the Fermi level 7.87 states/eV/cell. Number 3: density of states at the Fermi level 3.19 states/eV/cell. Number 4: density of states at the Fermi level 12.36 states/eV/cell. Number 5: density of states at the Fermi level 5.49 states/eV/cell. Number 6: density of states at the Fermi level 7.55 states/eV/cell. Number 7: density of states at the Fermi level 2.49 states/eV/cell. Number 8: density of states at the Fermi level 45.31 states/eV/cell.